Entry 1:
# Pa2Ga4NiPt3

A geometry-optimized Pa2Ga4NiPt3 structure (GGA-PBE, Alexandria).

```
data_Pa2Ga4NiPt3
_chemical_formula_sum 'Pa2 Ga4 Ni1 Pt3'
_cell_length_a 4.032
_cell_length_b 4.032
_cell_length_c 11.142
_cell_angle_alpha 90.00
_cell_angle_beta 90.00
_cell_angle_gamma 90.00
_space_group_name_H-M_alt 'P -4 m 2'
_space_group_IT_number 115
_space_group_name_Hall 'P -4 -2'
loop_
_atom_site_label
_atom_site_fract_x
_atom_site_fract_y
_atom_site_fract_z
_atom_site_occupancy
Pa1 0.000 0.500 0.245 1
Ga1 0.000 0.000 0.500 1
Ga2 0.000 0.500 0.874 1
Ga3 0.500 0.500 0.500 1
Ni1 0.500 0.500 0.000 1
Pt1 0.000 0.000 0.000 1
Pt2 0.000 0.500 0.652 1
```

Summary:
energy of formation from the pure elements	-0.709	eV per atom
raw total energy	-6.209	eV per atom

***

Entry 2:
# PaGaReNi

A geometry-optimized PaGaReNi structure (GGA-PBE, Alexandria).

```
data_PaGaReNi
_chemical_formula_sum 'Pa4 Ga4 Re4 Ni4'
_cell_length_a 6.503
_cell_length_b 6.503
_cell_length_c 6.503
_cell_angle_alpha 90.00
_cell_angle_beta 90.00
_cell_angle_gamma 90.00
_space_group_name_H-M_alt 'F -4 3 m'
_space_group_IT_number 216
_space_group_name_Hall 'F -4 2 3'
loop_
_atom_site_label
_atom_site_fract_x
_atom_site_fract_y
_atom_site_fract_z
_atom_site_occupancy
Pa1 0.000 0.000 0.000 1
Ga1 0.000 0.000 0.500 1
Re1 0.250 0.250 0.750 1
Ni1 0.250 0.250 0.250 1
```

Summary:
energy of formation from the pure elements	-0.068	eV per atom
raw total energy	-7.756	eV per atom

***

Entry 3:
# PaGaNiRh

A geometry-optimized PaGaNiRh structure (GGA-PBE, Alexandria).

```
data_PaGaNiRh
_chemical_formula_sum 'Pa4 Ga4 Ni4 Rh4'
_cell_length_a 6.510
_cell_length_b 6.510
_cell_length_c 6.510
_cell_angle_alpha 90.00
_cell_angle_beta 90.00
_cell_angle_gamma 90.00
_space_group_name_H-M_alt 'F -4 3 m'
_space_group_IT_number 216
_space_group_name_Hall 'F -4 2 3'
loop_
_atom_site_label
_atom_site_fract_x
_atom_site_fract_y
_atom_site_fract_z
_atom_site_occupancy
Pa1 0.000 0.000 0.000 1
Ga1 0.000 0.000 0.500 1
Ni1 0.250 0.250 0.250 1
Rh1 0.250 0.250 0.750 1
```

Summary:
energy of formation from the pure elements	-0.510	eV per atom
raw total energy	-6.924	eV per atom

***

Entry 4:
# ScPaGaNi

A geometry-optimized ScPaGaNi structure (GGA-PBE, Alexandria).

```
data_ScPaGaNi
_chemical_formula_sum 'Sc4 Pa4 Ga4 Ni4'
_cell_length_a 6.782
_cell_length_b 6.782
_cell_length_c 6.782
_cell_angle_alpha 90.00
_cell_angle_beta 90.00
_cell_angle_gamma 90.00
_space_group_name_H-M_alt 'F -4 3 m'
_space_group_IT_number 216
_space_group_name_Hall 'F -4 2 3'
loop_
_atom_site_label
_atom_site_fract_x
_atom_site_fract_y
_atom_site_fract_z
_atom_site_occupancy
Sc1 0.000 0.000 0.000 1
Pa1 0.000 0.000 0.500 1
Ga1 0.250 0.250 0.250 1
Ni1 0.250 0.250 0.750 1
```

Summary:
energy of formation from the pure elements	-0.235	eV per atom
raw total energy	-6.394	eV per atom

***

Entry 5:
# Pa2GaSi3Ni4

A geometry-optimized Pa2GaSi3Ni4 structure (GGA-PBE, Alexandria).

```
data_Pa2GaSi3Ni4
_chemical_formula_sum 'Pa2 Ga1 Si3 Ni4'
_cell_length_a 4.001
_cell_length_b 4.001
_cell_length_c 9.524
_cell_angle_alpha 90.00
_cell_angle_beta 90.00
_cell_angle_gamma 90.00
_space_group_name_H-M_alt 'P -4 m 2'
_space_group_IT_number 115
_space_group_name_Hall 'P -4 -2'
loop_
_atom_site_label
_atom_site_fract_x
_atom_site_fract_y
_atom_site_fract_z
_atom_site_occupancy
Pa1 0.000 0.500 0.243 1
Ga1 0.000 0.000 0.500 1
Si1 0.000 0.500 0.874 1
Si2 0.500 0.500 0.500 1
Ni1 0.000 0.000 0.000 1
Ni2 0.000 0.500 0.636 1
Ni3 0.500 0.500 0.000 1
```

Summary:
E_form (uncorrected)	-0.740	eV per atom
raw total energy	-6.882	eV per atom

***

Entry 6:
# PaGaSi2Ni5

A geometry-optimized PaGaSi2Ni5 structure (GGA-PBE, Alexandria).

```
data_PaGaSi2Ni5
_chemical_formula_sum 'Pa1 Ga1 Si2 Ni5'
_cell_length_a 3.722
_cell_length_b 3.722
_cell_length_c 10.024
_cell_angle_alpha 90.00
_cell_angle_beta 90.00
_cell_angle_gamma 90.00
_space_group_name_H-M_alt 'P 4/m m m'
_space_group_IT_number 123
_space_group_name_Hall '-P 4 2'
loop_
_atom_site_label
_atom_site_fract_x
_atom_site_fract_y
_atom_site_fract_z
_atom_site_occupancy
Pa1 0.000 0.000 0.000 1
Ga1 0.000 0.000 0.500 1
Si1 0.500 0.500 0.219 1
Ni1 0.000 0.500 0.345 1
Ni2 0.500 0.500 0.000 1
```

Summary:
E_form (uncorrected)	-0.258	eV per atom
raw total energy	-6.066	eV per atom

***

Entry 7:
# Pa2ZnGa4Ni3

A geometry-optimized Pa2ZnGa4Ni3 structure (GGA-PBE, Alexandria).

```
data_Pa2ZnGa4Ni3
_chemical_formula_sum 'Pa2 Zn1 Ga4 Ni3'
_cell_length_a 4.014
_cell_length_b 4.014
_cell_length_c 10.338
_cell_angle_alpha 90.00
_cell_angle_beta 90.00
_cell_angle_gamma 90.00
_space_group_name_H-M_alt 'P -4 m 2'
_space_group_IT_number 115
_space_group_name_Hall 'P -4 -2'
loop_
_atom_site_label
_atom_site_fract_x
_atom_site_fract_y
_atom_site_fract_z
_atom_site_occupancy
Pa1 0.000 0.500 0.241 1
Zn1 0.000 0.000 0.500 1
Ga1 0.000 0.000 0.000 1
Ga2 0.000 0.500 0.637 1
Ga3 0.500 0.500 0.000 1
Ni1 0.000 0.500 0.864 1
Ni2 0.500 0.500 0.500 1
```

Summary:
energy of formation from the pure elements	-0.431	eV per atom
raw total energy	-5.403	eV per atom

***

Entry 8:
# Pa3ZnGa2Ni9

A geometry-optimized Pa3ZnGa2Ni9 structure (GGA-PBE, Alexandria).

```
data_Pa3ZnGa2Ni9
_chemical_formula_sum 'Pa3 Zn1 Ga2 Ni9'
_cell_length_a 6.1572
_cell_length_b 6.1572
_cell_length_c 8.0380
_cell_angle_alpha 90.00
_cell_angle_beta 90.00
_cell_angle_gamma 120.00
_space_group_name_H-M_alt 'P -3 m 1'
_space_group_IT_number 164
_space_group_name_Hall '-P 3 2"'
loop_
_atom_site_label
_atom_site_fract_x
_atom_site_fract_y
_atom_site_fract_z
_atom_site_occupancy
Pa1 0.0000 0.0000 0.0000 1
Pa2 0.3333 0.6667 0.7285 1
Zn1 0.0000 0.0000 0.5000 1
Ga1 0.3333 0.6667 0.2094 1
Ni1 0.0000 0.5000 0.0000 1
Ni2 0.1300 0.2600 0.2595 1
```

Summary:
energy of formation from the pure elements	-0.012	eV per atom
raw total energy	-5.868	eV per atom

***

Entry 9:
# PaZnGa2Ni4

A geometry-optimized PaZnGa2Ni4 structure (GGA-PBE, Alexandria).

```
data_PaZnGa2Ni4
_chemical_formula_sum 'Pa3 Zn3 Ga6 Ni12'
_cell_length_a 4.0696
_cell_length_b 4.0696
_cell_length_c 24.1078
_cell_angle_alpha 90.00
_cell_angle_beta 90.00
_cell_angle_gamma 120.00
_space_group_name_H-M_alt 'R -3 m'
_space_group_IT_number 166
_space_group_name_Hall '-R 3 2"'
loop_
_atom_site_label
_atom_site_fract_x
_atom_site_fract_y
_atom_site_fract_z
_atom_site_occupancy
Pa1 0.0000 0.0000 0.0000 1
Zn1 0.0000 0.0000 0.5000 1
Ga1 0.0000 0.0000 0.2393 1
Ni1 0.0000 0.0000 0.1299 1
Ni2 0.0000 0.0000 0.3986 1
```

Summary:
energy of formation from the pure elements	-0.375	eV per atom
raw total energy	-5.368	eV per atom

***

Entry 10:
# Ga2NiPb2

A geometry-optimized Ga2NiPb2 structure (GGA-PBE, Alexandria).

```
data_Ga2NiPb2
_chemical_formula_sum 'Ga4 Ni2 Pb4'
_cell_length_a 7.016
_cell_length_b 7.016
_cell_length_c 4.920
_cell_angle_alpha 90.00
_cell_angle_beta 90.00
_cell_angle_gamma 90.00
_space_group_name_H-M_alt 'P 4/m b m'
_space_group_IT_number 127
_space_group_name_Hall '-P 4 2ab'
loop_
_atom_site_label
_atom_site_fract_x
_atom_site_fract_y
_atom_site_fract_z
_atom_site_occupancy
Ga1 0.146 0.354 0.000 1
Ni1 0.000 0.000 0.500 1
Pb1 0.169 0.669 0.500 1
```

Summary:
energy of formation from the pure elements	0.283	eV per atom
E above lowest polymorph	194.0	meV per atom
raw total energy	-3.567	eV per atom

***

Entry 11:
# Ga2Ni2Pb

A geometry-optimized Ga2Ni2Pb structure (GGA-PBE, Alexandria).

```
data_Ga2Ni2Pb
_chemical_formula_sum 'Ga4 Ni4 Pb2'
_cell_length_a 7.539
_cell_length_b 7.539
_cell_length_c 2.860
_cell_angle_alpha 90.00
_cell_angle_beta 90.00
_cell_angle_gamma 90.00
_space_group_name_H-M_alt 'P 4/m b m'
_space_group_IT_number 127
_space_group_name_Hall '-P 4 2ab'
loop_
_atom_site_label
_atom_site_fract_x
_atom_site_fract_y
_atom_site_fract_z
_atom_site_occupancy
Ga1 0.126 0.374 0.000 1
Ni1 0.165 0.665 0.500 1
Pb1 0.000 0.000 0.000 1
```

Summary:
energy of formation from the pure elements	0.015	eV per atom
E above lowest polymorph	104.4	meV per atom
raw total energy	-4.250	eV per atom

***

Entry 12:
# GaNi2Pb2

A geometry-optimized GaNi2Pb2 structure (GGA-PBE, Alexandria).

```
data_GaNi2Pb2
_chemical_formula_sum 'Ga2 Ni4 Pb4'
_cell_length_a 6.685
_cell_length_b 6.685
_cell_length_c 4.253
_cell_angle_alpha 90.00
_cell_angle_beta 90.00
_cell_angle_gamma 90.00
_space_group_name_H-M_alt 'P 4/m b m'
_space_group_IT_number 127
_space_group_name_Hall '-P 4 2ab'
loop_
_atom_site_label
_atom_site_fract_x
_atom_site_fract_y
_atom_site_fract_z
_atom_site_occupancy
Ga1 0.000 0.000 0.000 1
Ni1 0.139 0.361 0.000 1
Pb1 0.169 0.669 0.500 1
```

Summary:
energy of formation from the pure elements	0.124	eV per atom
raw total energy	-4.277	eV per atom